# Li2HfScRh SCAN single point on PBEsol structure
# Crystal system: tetragonal
# Energy of formation: 14.86 kcal/mol of atoms
# ρ: 5.32 g/cm3
# Uncorrected energy: -22.448 eV per atom
data_Li2HfScRh
_chemical_formula_sum 'Li2 Hf1 Sc1 Rh1'
_cell_length_a 4.7983
_cell_length_b 4.7983
_cell_length_c 4.6141
_cell_angle_alpha 90.00
_cell_angle_beta 90.00
_cell_angle_gamma 90.00
_symmetry_space_group_name_H-M 'P 4/m m m'
_symmetry_Int_Tables_number 123
_symmetry_space_group_name_Hall '-P 4 2'
loop_
_atom_site_label
_atom_site_type_symbol
_atom_site_fract_x
_atom_site_fract_y
_atom_site_fract_z
Li1 Li 0.0000 0.5000 0.0000
Hf1 Hf 0.0000 0.0000 0.0000
Sc1 Sc 0.5000 0.5000 0.5000
Rh1 Rh 0.0000 0.0000 0.5000